Density functional theory data (GGA-PBE) for Ce2PmTm3P6 after structural relaxation.

The value obtained for the calculated formation energy is -1563 meV per atom.

```
data_Ce2PmTm3P6
_chemical_formula_sum 'Ce4 Pm2 Tm6 P12'
_cell_length_a 6.975
_cell_length_b 12.081
_cell_length_c 6.951
_cell_angle_alpha 90.00
_cell_angle_beta 109.54
_cell_angle_gamma 90.00
_symmetry_space_group_name_H-M 'C 1 2/m 1'
_symmetry_Int_Tables_number 12
loop_
_symmetry_equiv_pos_as_xyz
'x,y,z'
'-x,-y,-z'
'-x,y,-z'
'x,-y,z'
'x+1/2,y+1/2,z'
'-x+1/2,-y+1/2,-z'
'-x+1/2,y+1/2,-z'
'x+1/2,-y+1/2,z'
loop_
_atom_site_label
_atom_site_fract_x
_atom_site_fract_y
_atom_site_fract_z
Ce1 0.000 0.167 0.000
Pm1 0.000 0.500 0.000
Tm1 0.000 0.000 0.500
Tm2 0.000 0.334 0.500
P1 0.246 0.168 0.742
P2 0.249 0.000 0.259
```